# 1
This record from Alexandria describes an optimized crystal structure of CeCdB2Rh5. The functional is PBE-GGA.

Structure (POSCAR):
```
CeCdB2Rh5
1.0
4.171 0.000 0.000
0.000 4.171 0.000
0.000 0.000 7.928
Ce Cd B Rh
1 1 2 5
direct
0.000 0.000 0.500 Ce
0.000 0.000 0.000 Cd
0.500 0.500 0.215 B
0.500 0.500 0.785 B
0.000 0.500 0.241 Rh
0.500 0.000 0.241 Rh
0.000 0.500 0.759 Rh
0.500 0.000 0.759 Rh
0.500 0.500 0.500 Rh
```

DFT total energy = -60.74 eV for the cell shown
calculated density = 9.49 g/cm³
space group = P4/mmm (123)
formation enthalpy at 0 K = -0.4195 eV/atom

# 2
This record from Alexandria describes an optimized crystal structure of Pa2ZnCo4As3. The functional is PBE-GGA.

Structure (POSCAR):
```
Pa2ZnCo4As3
1.0
3.925 0.000 0.000
0.000 3.925 0.000
0.000 0.000 10.083
Pa Zn Co As
2 1 4 3
direct
0.500 0.000 0.249 Pa
0.000 0.500 0.751 Pa
0.500 0.500 0.500 Zn
0.500 0.500 0.000 Co
0.000 0.000 0.000 Co
0.500 0.000 0.647 Co
0.000 0.500 0.353 Co
0.000 0.000 0.500 As
0.500 0.000 0.873 As
0.000 0.500 0.127 As
```

DFT total energy = -68.86 eV for the cell shown
calculated density = 10.56 g/cm³
space group = P-4m2 (115)
formation enthalpy at 0 K = -0.6227 eV/atom

# 3
This record from Alexandria describes an optimized crystal structure of La7CePr12. The functional is PBE-GGA.

Structure (POSCAR):
```
La7CePr12
1.0
-7.528 -4.679 -4.750
8.184 -5.842 -0.119
-2.670 1.835 9.519
La Ce Pr
7 1 12
direct
0.500 0.500 0.000 La
0.000 0.500 0.500 La
0.500 0.000 0.500 La
0.500 0.500 0.500 La
0.000 0.000 0.500 La
0.500 0.000 0.000 La
0.000 0.500 0.000 La
0.000 0.000 0.000 Ce
0.510 0.724 0.786 Pr
0.938 0.724 0.214 Pr
0.490 0.276 0.214 Pr
0.062 0.276 0.786 Pr
0.786 0.062 0.276 Pr
0.786 0.510 0.724 Pr
0.214 0.938 0.724 Pr
0.214 0.490 0.276 Pr
0.724 0.786 0.510 Pr
0.276 0.214 0.490 Pr
0.724 0.214 0.938 Pr
0.276 0.786 0.062 Pr
```

DFT total energy = -86.53 eV for the cell shown
calculated density = 5.95 g/cm³
space group = Im-3 (204)
ΔE to the lowest computed polymorph = 489 meV/atom
formation enthalpy at 0 K = 0.5624 eV/atom